VASP calculation (PBEsol) on a relaxed KAl3Os crystal.

Summary:
As for the size of the total moment: 0.2265 μB/atom. For the volume, the calculation gives 108.74 Å³/cell. The total energy comes out at -2.4573 eV per atom.

abc: 4.773 4.773 4.773
angles: 90.00 90.00 90.00
Space group Pm-3m (No. 221)
Unique sites:
K (0.000, 0.000, 0.000)
Al (0.000, 0.000, 0.500)
Os (0.500, 0.500, 0.500)

---

VASP calculation (PBEsol) on a relaxed KAl2Os crystal.

Summary:
As for the size of the total moment: 0.0000 μB/atom. The energy relative to the lowest polymorph listed for this composition comes out at 0.070 eV per atom. For the volume, the calculation gives 228.55 Å³/cell. The total energy comes out at -5.1186 eV per atom.

abc: 2.9992 2.9992 29.3383
angles: 90.00 90.00 120.00
Space group R-3m (No. 166, hexagonal axes)
Unique sites:
K (0.0000, 0.0000, 0.0000)
Al (0.0000, 0.0000, 0.2307)
Os (0.0000, 0.0000, 0.5000)

---

VASP calculation (PBEsol) on a relaxed KAlP crystal.

Summary:
As for the size of the total moment: 0.0001 μB/atom. For the volume, the calculation gives 318.54 Å³/cell. The total energy comes out at -2.8077 eV per atom.

abc: 6.829 6.829 6.829
angles: 90.00 90.00 90.00
Space group F-43m (No. 216)
Unique sites:
K (0.000, 0.000, 0.000)
Al (0.250, 0.250, 0.750)
P (0.250, 0.250, 0.250)

---

VASP calculation (PBEsol) on a relaxed KAlP crystal.

Summary:
As for the size of the total moment: 0.0000 μB/atom. For the volume, the calculation gives 281.19 Å³/cell. The total energy comes out at -4.1416 eV per atom.

abc: 10.467 3.883 7.967
angles: 90.00 119.73 90.00
Space group C2/m (No. 12)
Unique sites:
K (0.068, 0.000, 0.360)
Al (0.149, 0.500, 0.044)
P (0.207, 0.500, 0.780)

---

VASP calculation (PBEsol) on a relaxed KAl2P crystal.

Summary:
As for the size of the total moment: 0.0000 μB/atom. For the volume, the calculation gives 88.07 Å³/cell. The total energy comes out at -3.7210 eV per atom.

abc: 3.304 3.304 8.066
angles: 90.00 90.00 90.00
Space group P4/mmm (No. 123)
Unique sites:
K (0.000, 0.000, 0.000)
Al (0.500, 0.500, 0.336)
P (0.000, 0.000, 0.500)

---

VASP calculation (PBEsol) on a relaxed KAl2P crystal.

Summary:
As for the size of the total moment: 0.0000 μB/atom. For the volume, the calculation gives 165.64 Å³/cell. The total energy comes out at -3.3618 eV per atom.

abc: 4.288 4.288 9.010
angles: 90.00 90.00 90.00
Space group I4/mmm (No. 139)
Unique sites:
K (0.000, 0.000, 0.000)
Al (0.000, 0.500, 0.250)
P (0.000, 0.000, 0.500)

---

VASP calculation (PBEsol) on a relaxed KAlP2 crystal.

Summary:
As for the size of the total moment: 0.0000 μB/atom. For the volume, the calculation gives 74.83 Å³/cell. The total energy comes out at -3.8440 eV per atom.

abc: 4.348 4.348 3.958
angles: 90.00 90.00 90.00
Space group P4/mmm (No. 123)
Unique sites:
K (0.000, 0.000, 0.000)
Al (0.500, 0.500, 0.000)
P (0.000, 0.500, 0.500)

---

VASP calculation (PBEsol) on a relaxed KAlPPt2 crystal.

Summary:
As for the size of the total moment: 0.0001 μB/atom. For the volume, the calculation gives 116.69 Å³/cell. The total energy comes out at -2.7460 eV per atom.

abc: 4.866 4.866 4.928
angles: 90.00 90.00 90.00
Space group P4/mmm (No. 123)
Unique sites:
K (0.000, 0.000, 0.000)
Al (0.000, 0.000, 0.500)
P (0.500, 0.500, 0.500)
Pt (0.000, 0.500, 0.000)

---

VASP calculation (PBEsol) on a relaxed K2YAlP crystal.

Summary:
As for the size of the total moment: 0.2256 μB/atom. For the volume, the calculation gives 190.02 Å³/cell. The total energy comes out at -3.6123 eV per atom.

abc: 5.993 5.993 5.290
angles: 90.00 90.00 90.00
Space group P4/mmm (No. 123)
Unique sites:
K (0.000, 0.500, 0.000)
Y (0.000, 0.000, 0.500)
Al (0.500, 0.500, 0.500)
P (0.000, 0.000, 0.000)

---

VASP calculation (PBEsol) on a relaxed KAl2Pb crystal.

Summary:
As for the size of the total moment: 0.0000 μB/atom. For the volume, the calculation gives 203.47 Å³/cell. The total energy comes out at -3.0024 eV per atom.

abc: 4.722 4.722 9.125
angles: 90.00 90.00 90.00
Space group I4/mmm (No. 139)
Unique sites:
K (0.000, 0.000, 0.000)
Al (0.000, 0.500, 0.250)
Pb (0.000, 0.000, 0.500)

---

VASP calculation (PBEsol) on a relaxed KAl2Pb crystal.

Summary:
As for the size of the total moment: 0.0000 μB/atom. For the volume, the calculation gives 99.48 Å³/cell. The total energy comes out at -2.9923 eV per atom.

abc: 4.591 4.591 4.719
angles: 90.00 90.00 90.00
Space group P4/mmm (No. 123)
Unique sites:
K (0.000, 0.000, 0.000)
Al (0.000, 0.500, 0.500)
Pb (0.500, 0.500, 0.000)

---

VASP calculation (PBEsol) on a relaxed KAlPb2 crystal.

Summary:
As for the size of the total moment: 0.0001 μB/atom. For the volume, the calculation gives 121.39 Å³/cell. The total energy comes out at -3.2280 eV per atom.

abc: 3.715 4.174 7.829
angles: 90.00 90.00 90.00
Space group Pmm2 (No. 25)
Unique sites:
K (0.000, 0.000, 0.000)
Al (0.500, 0.500, 0.697)
Pb (0.000, 0.000, 0.537)
Pb (0.500, 0.500, 0.314)